No. 1
Here is TiTc2Cl2 after structural relaxation from the Alexandria database. Energies are from GGA-PBE.

Properties
Offset from the most stable computed form (kJ per mole of atoms): 15.32
ΔE_f (raw) (eV/atom): 0.766

Structure (CIF):
```
data_TiTc2Cl2
_chemical_formula_sum 'Ti2 Tc4 Cl4'
_cell_length_a 4.105
_cell_length_b 4.105
_cell_length_c 9.896
_cell_angle_alpha 90.00
_cell_angle_beta 90.00
_cell_angle_gamma 90.00
_space_group_name_H-M_alt 'I 4/m m m'
_space_group_IT_number 139
_space_group_name_Hall '-I 4 2'
loop_
_atom_site_label
_atom_site_fract_x
_atom_site_fract_y
_atom_site_fract_z
Ti1 0.000 0.000 0.000
Tc1 0.000 0.500 0.250
Cl1 0.000 0.000 0.368
```

No. 2
Here is Ti2TcCl after structural relaxation from the Alexandria database. Energies are from GGA-PBE.

Properties
Offset from the most stable computed form (kJ per mole of atoms): 0.00
ΔE_f (raw) (eV/atom): 0.168

Structure (CIF):
```
data_Ti2TcCl
_chemical_formula_sum 'Ti8 Tc4 Cl4'
_cell_length_a 6.702
_cell_length_b 6.702
_cell_length_c 5.819
_cell_angle_alpha 90.00
_cell_angle_beta 90.00
_cell_angle_gamma 90.00
_space_group_name_H-M_alt 'I -4 2 d'
_space_group_IT_number 122
_space_group_name_Hall 'I -4 2bw'
loop_
_atom_site_label
_atom_site_fract_x
_atom_site_fract_y
_atom_site_fract_z
Ti1 0.230 0.250 0.125
Tc1 0.000 0.000 0.500
Cl1 0.000 0.000 0.000
```

No. 3
Here is TiTc3Cl after structural relaxation from the Alexandria database. Energies are from GGA-PBE.

Properties
Offset from the most stable computed form (kJ per mole of atoms): 0.00
ΔE_f (raw) (eV/atom): 0.825

Structure (CIF):
```
data_TiTc3Cl
_chemical_formula_sum 'Ti1 Tc3 Cl1'
_cell_length_a 4.331
_cell_length_b 4.331
_cell_length_c 4.331
_cell_angle_alpha 90.00
_cell_angle_beta 90.00
_cell_angle_gamma 90.00
_space_group_name_H-M_alt 'P m -3 m'
_space_group_IT_number 221
_space_group_name_Hall '-P 4 2 3'
loop_
_atom_site_label
_atom_site_fract_x
_atom_site_fract_y
_atom_site_fract_z
Ti1 0.000 0.000 0.000
Tc1 0.000 0.500 0.500
Cl1 0.500 0.500 0.500
```

No. 4
Here is TiTcCl2 after structural relaxation from the Alexandria database. Energies are from GGA-PBE.

Properties
Offset from the most stable computed form (kJ per mole of atoms): 54.38
ΔE_f (raw) (eV/atom): 0.300

Structure (CIF):
```
data_TiTcCl2
_chemical_formula_sum 'Ti4 Tc4 Cl8'
_cell_length_a 5.469
_cell_length_b 5.469
_cell_length_c 10.292
_cell_angle_alpha 90.00
_cell_angle_beta 90.00
_cell_angle_gamma 90.00
_space_group_name_H-M_alt 'I -4 2 d'
_space_group_IT_number 122
_space_group_name_Hall 'I -4 2bw'
loop_
_atom_site_label
_atom_site_fract_x
_atom_site_fract_y
_atom_site_fract_z
Ti1 0.000 0.000 0.000
Tc1 0.000 0.000 0.500
Cl1 0.247 0.250 0.625
```

No. 5
Here is TiTcCl2 after structural relaxation from the Alexandria database. Energies are from GGA-PBE.

Properties
Offset from the most stable computed form (kJ per mole of atoms): 0.00
ΔE_f (raw) (eV/atom): -0.263

Structure (CIF):
```
data_TiTcCl2
_chemical_formula_sum 'Ti3 Tc3 Cl6'
_cell_length_a 3.0174
_cell_length_b 3.0174
_cell_length_c 24.5807
_cell_angle_alpha 90.00
_cell_angle_beta 90.00
_cell_angle_gamma 120.00
_space_group_name_H-M_alt 'R -3 m'
_space_group_IT_number 166
_space_group_name_Hall '-R 3 2"'
loop_
_atom_site_label
_atom_site_fract_x
_atom_site_fract_y
_atom_site_fract_z
Ti1 0.0000 0.0000 0.0000
Tc1 0.0000 0.0000 0.5000
Cl1 0.0000 0.0000 0.4037
```

No. 6
Here is TlTc2Cl after structural relaxation from the Alexandria database. Energies are from GGA-PBE.

Properties
Offset from the most stable computed form (kJ per mole of atoms): 6.91
ΔE_f (raw) (eV/atom): 0.182

Structure (CIF):
```
data_TlTc2Cl
_chemical_formula_sum 'Tl1 Tc2 Cl1'
_cell_length_a 2.982
_cell_length_b 2.982
_cell_length_c 8.638
_cell_angle_alpha 90.00
_cell_angle_beta 90.00
_cell_angle_gamma 90.00
_space_group_name_H-M_alt 'P 4 m m'
_space_group_IT_number 99
_space_group_name_Hall 'P 4 -2'
loop_
_atom_site_label
_atom_site_fract_x
_atom_site_fract_y
_atom_site_fract_z
Tl1 0.000 0.000 0.000
Tc1 0.000 0.000 0.567
Tc2 0.500 0.500 0.744
Cl1 0.500 0.500 0.363
```

No. 7
Here is TlTcCl3 after structural relaxation from the Alexandria database. Energies are from GGA-PBE.

Properties
Offset from the most stable computed form (kJ per mole of atoms): 0.63
ΔE_f (raw) (eV/atom): -0.456

Structure (CIF):
```
data_TlTcCl3
_chemical_formula_sum 'Tl1 Tc1 Cl3'
_cell_length_a 5.021
_cell_length_b 5.021
_cell_length_c 5.021
_cell_angle_alpha 90.00
_cell_angle_beta 90.00
_cell_angle_gamma 90.00
_space_group_name_H-M_alt 'P m -3 m'
_space_group_IT_number 221
_space_group_name_Hall '-P 4 2 3'
loop_
_atom_site_label
_atom_site_fract_x
_atom_site_fract_y
_atom_site_fract_z
Tl1 0.000 0.000 0.000
Tc1 0.500 0.500 0.500
Cl1 0.000 0.500 0.500
```

No. 8
Here is TlTcCl after structural relaxation from the Alexandria database. Energies are from GGA-PBE.

Properties
Offset from the most stable computed form (kJ per mole of atoms): 9.56
ΔE_f (raw) (eV/atom): 0.425

Structure (CIF):
```
data_TlTcCl
_chemical_formula_sum 'Tl4 Tc4 Cl4'
_cell_length_a 3.041
_cell_length_b 5.470
_cell_length_c 15.958
_cell_angle_alpha 90.00
_cell_angle_beta 90.00
_cell_angle_gamma 90.00
_space_group_name_H-M_alt 'F m m 2'
_space_group_IT_number 42
_space_group_name_Hall 'F 2 -2'
loop_
_atom_site_label
_atom_site_fract_x
_atom_site_fract_y
_atom_site_fract_z
Tl1 0.000 0.000 0.000
Tc1 0.000 0.000 0.337
Cl1 0.000 0.000 0.725
```